VASP calculation (PBE) on a relaxed structure of RbCd11Pd.

- ΔE_f: -82 meV/atom
- Calculated total energy: -0.049 Ha/atom

Cell lengths 5.667, 14.567, 7.923 Å; angles 90.00, 108.53, 90.00 degrees
Space group C2/m (No. 12)
Asymmetric unit:
Rb  0.000  0.000  0.000 (multiplicity 2)
Cd  0.000  0.000  0.500 (multiplicity 2)
Cd  0.101  0.392  0.229 (multiplicity 8)
Cd  0.185  0.174  0.362 (multiplicity 8)
Cd  0.250  0.250  0.000 (multiplicity 4)
Pd  0.000  0.500  0.500 (multiplicity 2)

VASP calculation (PBE) on a relaxed structure of AgOsAu.

- ΔE_f: 608 meV/atom
- Calculated total energy: -0.190 Ha/atom

Cell lengths 2.729, 2.729, 13.328 Å; angles 90.00, 90.00, 90.00 degrees
Space group I4mm (No. 107)
Asymmetric unit:
Ag  0.000  0.000  0.000 (multiplicity 2)
Os  0.000  0.000  0.336 (multiplicity 2)
Au  0.000  0.000  0.674 (multiplicity 2)

VASP calculation (PBE) on a relaxed structure of Tm6Zn5Ni.

- ΔE_f: -370 meV/atom
- Calculated total energy: -0.133 Ha/atom

Cell lengths 4.931, 6.981, 7.785 Å; angles 90.00, 108.40, 90.00 degrees
Space group P2/m (No. 10)
Asymmetric unit:
Tm  0.000  0.241  0.000 (multiplicity 2)
Tm  0.338  0.246  0.676 (multiplicity 4)
Zn  0.169  0.500  0.338 (multiplicity 2)
Zn  0.172  0.000  0.344 (multiplicity 2)
Zn  0.500  0.500  0.000 (multiplicity 1)
Ni  0.500  0.000  0.000 (multiplicity 1)

VASP calculation (PBE) on a relaxed structure of TmZn3Ni.

- ΔE_f: -238 meV/atom
- Calculated total energy: -0.112 Ha/atom

Cell lengths 4.232, 6.897, 6.063 Å; angles 90.00, 90.00, 90.00 degrees
Space group Amm2 (No. 38)
Asymmetric unit:
Tm  0.000  0.000  0.000 (multiplicity 2)
Zn  0.000  0.000  0.498 (multiplicity 2)
Zn  0.500  0.188  0.654 (multiplicity 4)
Ni  0.500  0.000  0.304 (multiplicity 2)